1.
Below is a geometry-optimized Cu2Pt9Rh structure, with properties calculated at the PBE-GGA level.

Calculated values
Energy of formation from the pure elements, eV/atom: -0.08
DOS(E_F), states/eV/f.u.: 16.354
Total magnetization, μB per formula unit: 1.244
VASP energy, eV per atom: -5.91

Cell and atoms, written as CIF:
```
data_Cu2Pt9Rh
_symmetry_space_group_name_H-M 'P 4/m m m'
_symmetry_Int_Tables_number 123
_symmetry_space_group_name_Hall '-P 4 2'
_cell_length_a 3.915
_cell_length_b 3.915
_cell_length_c 11.769
_cell_angle_alpha 90.00
_cell_angle_beta 90.00
_cell_angle_gamma 90.00
loop_
_atom_site_label
_atom_site_fract_x
_atom_site_fract_y
_atom_site_fract_z
Cu1 0.000 0.000 0.165
Pt1 0.000 0.500 0.000
Pt2 0.000 0.500 0.330
Pt3 0.500 0.500 0.164
Pt4 0.500 0.500 0.500
Rh1 0.000 0.000 0.500
```

2.
Below is a geometry-optimized CuPtRh2 structure, with properties calculated at the PBE-GGA level.

Calculated values
Energy of formation from the pure elements, eV/atom: 0.16
DOS(E_F), states/eV/f.u.: 4.362
Energy relative to the lowest polymorph listed for this composition, meV per atom: 198
Total magnetization, μB per formula unit: 0.992
VASP energy, eV per atom: -6.05

Cell and atoms, written as CIF:
```
data_CuPtRh2
_symmetry_space_group_name_H-M 'F m -3 m'
_symmetry_Int_Tables_number 225
_symmetry_space_group_name_Hall '-F 4 2 3'
_cell_length_a 6.132
_cell_length_b 6.132
_cell_length_c 6.132
_cell_angle_alpha 90.00
_cell_angle_beta 90.00
_cell_angle_gamma 90.00
loop_
_atom_site_label
_atom_site_fract_x
_atom_site_fract_y
_atom_site_fract_z
Cu1 0.000 0.000 0.000
Pt1 0.000 0.000 0.500
Rh1 0.250 0.250 0.250
```